# 1
LaPm5Pr2Sc | Alexandria | PBE | relaxed; symmetry = No. 140; formation energy from the elements = 2.438 eV per formula unit
1.0
-4.423 4.423 7.921
4.423 -4.423 7.921
4.423 4.423 -7.921
La Pm Pr Sc
2 10 4 2
Cartesian
0.000 0.000 3.961
0.000 0.000 11.882
0.000 0.000 0.000
6.245 1.822 -2.228
1.822 2.601 -2.228
6.245 1.822 2.228
1.822 2.601 2.228
0.000 0.000 7.921
2.601 1.822 5.693
-1.822 2.601 5.693
2.601 1.822 10.149
-1.822 2.601 10.149
3.362 1.061 0.000
3.362 -1.061 7.921
1.061 5.484 0.000
1.061 3.362 7.921
4.423 0.000 3.961
0.000 4.423 3.961


# 2
LaPmPrSc | Alexandria | PBE | relaxed; symmetry = No. 216; formation energy from the elements = 0.462 eV per formula unit
1.0
8.080 0.000 0.000
0.000 8.080 0.000
0.000 0.000 8.080
La Pm Pr Sc
4 4 4 4
Cartesian
0.000 0.000 0.000
0.000 4.040 4.040
4.040 0.000 4.040
4.040 4.040 0.000
2.020 2.020 2.020
2.020 6.060 6.060
6.060 2.020 6.060
6.060 6.060 2.020
0.000 0.000 4.040
0.000 4.040 0.000
4.040 0.000 0.000
4.040 4.040 4.040
2.020 2.020 6.060
2.020 6.060 2.020
6.060 2.020 2.020
6.060 6.060 6.060


# 3
La4Pm2PrSc | Alexandria | PBE | relaxed; symmetry = No. 10; formation energy from the elements = -0.475 eV per formula unit
1.0
6.099 0.000 0.000
0.000 6.099 0.000
-0.002 0.000 7.605
La Pm Pr Sc
4 2 1 1
Cartesian
0.003 0.000 2.043
3.038 3.049 2.017
3.059 3.049 5.588
6.095 0.000 5.562
0.000 3.049 0.000
3.049 0.000 3.803
3.050 0.000 0.000
-0.001 3.049 3.803


# 4
LaPm2Pr5Sc | Alexandria | PBE | relaxed; symmetry = No. 140; formation energy from the elements = 2.502 eV per formula unit
1.0
-4.509 4.509 7.772
4.509 -4.509 7.772
4.509 4.509 -7.772
La Pm Pr Sc
2 4 10 2
Cartesian
0.000 0.000 3.886
0.000 0.000 11.657
5.564 1.056 0.000
1.056 3.453 0.000
3.453 1.056 7.772
-1.056 3.453 7.772
0.000 0.000 0.000
2.673 1.836 -2.169
2.673 -1.836 5.602
2.673 1.836 2.169
2.673 -1.836 9.941
0.000 0.000 7.772
1.836 6.345 -2.169
1.836 2.673 5.602
1.836 6.345 2.169
1.836 2.673 9.941
4.509 0.000 3.886
0.000 4.509 3.886


# 5
La5Pm2PrSc | Alexandria | PBE | relaxed; symmetry = No. 127; formation energy from the elements = 2.367 eV per formula unit
1.0
9.168 0.000 0.000
0.000 9.168 0.000
0.000 0.000 7.612
La Pm Pr Sc
10 4 2 2
Cartesian
0.000 0.000 0.000
1.915 2.668 2.147
1.915 2.668 5.466
2.668 7.252 2.147
2.668 7.252 5.466
4.584 4.584 0.000
6.499 1.915 2.147
6.499 1.915 5.466
7.252 6.499 2.147
7.252 6.499 5.466
1.045 5.629 0.000
3.539 1.045 0.000
5.629 8.122 0.000
8.122 3.539 0.000
0.000 0.000 3.806
4.584 4.584 3.806
0.000 4.584 3.806
4.584 0.000 3.806


# 6
LaPmPr2Sc | Alexandria | PBE | relaxed; symmetry = No. 51; formation energy from the elements = 0.845 eV per formula unit
1.0
6.396 0.000 0.000
0.000 7.956 0.000
0.000 0.000 6.715
La Pm Pr Sc
2 2 4 2
Cartesian
1.599 0.000 1.268
4.797 0.000 5.447
1.599 3.978 0.605
4.797 3.978 6.110
1.599 1.636 4.776
1.599 6.320 4.776
4.797 1.636 1.939
4.797 6.320 1.939
0.000 3.978 3.358
3.198 3.978 3.358


# 7
La2Pm4PrSc | Alexandria | PBE | relaxed; symmetry = No. 47; formation energy from the elements = 0.298 eV per formula unit
1.0
5.116 0.000 0.000
0.000 5.130 0.000
0.000 0.000 10.354
La Pm Pr Sc
2 4 1 1
Cartesian
0.000 0.000 0.000
2.558 2.565 5.177
0.000 2.565 2.517
0.000 2.565 7.837
2.558 0.000 2.520
2.558 0.000 7.834
0.000 0.000 5.177
2.558 2.565 0.000


# 8
La5PmPr2Sc | Alexandria | PBE | relaxed; symmetry = No. 127; formation energy from the elements = 2.325 eV per formula unit
1.0
9.073 0.000 0.000
0.000 9.073 0.000
0.000 0.000 7.824
La Pm Pr Sc
10 2 4 2
Cartesian
0.000 0.000 0.000
1.919 2.618 2.237
1.919 2.618 5.587
2.618 7.154 2.237
2.618 7.154 5.587
4.536 4.536 0.000
6.455 1.919 2.237
6.455 1.919 5.587
7.154 6.455 2.237
7.154 6.455 5.587
0.000 0.000 3.912
4.536 4.536 3.912
1.057 5.593 0.000
3.480 1.057 0.000
5.593 8.016 0.000
8.016 3.480 0.000
0.000 4.536 3.912
4.536 0.000 3.912


# 9
La2PmPr4Sc | Alexandria | PBE | relaxed; symmetry = No. 47; formation energy from the elements = 0.257 eV per formula unit
1.0
5.145 0.000 0.000
0.000 5.170 0.000
0.000 0.000 10.395
La Pm Pr Sc
2 1 4 1
Cartesian
0.000 0.000 0.000
2.573 2.585 5.197
0.000 0.000 5.197
0.000 2.585 2.535
0.000 2.585 7.860
2.573 0.000 2.540
2.573 0.000 7.854
2.573 2.585 0.000


# 10
LaPm4PrSe8 | Alexandria | PBE | relaxed; symmetry = No. 160; energy relative to the elements, uncorrected = -1.75 eV per atom
1.0
4.346 2.509 7.128
-4.346 2.509 7.128
0.000 -5.018 7.128
La Pm Pr Se
1 4 1 8
Cartesian
0.000 0.000 0.000
-2.159 -1.246 9.821
0.000 0.000 5.373
2.159 -1.246 9.821
0.000 2.493 9.821
0.000 0.000 13.361
0.000 -2.388 11.519
-2.068 1.194 11.519
0.000 0.000 8.194
-2.017 -1.164 15.258
2.068 1.194 11.519
0.000 0.000 18.504
2.017 -1.164 15.258
0.000 2.329 15.258


# 11
LaPmPr2Se4 | Alexandria | PBE | relaxed; symmetry = No. 74; energy relative to the elements, uncorrected = -1.88 eV per atom
1.0
-4.258 4.266 6.026
4.258 -4.266 6.026
4.258 4.266 -6.026
La Pm Pr Se
2 2 4 8
Cartesian
0.000 0.000 0.000
0.000 4.266 0.000
-2.129 2.133 3.013
2.129 2.133 3.013
2.129 2.133 -3.013
2.129 -2.133 3.013
4.258 0.000 0.000
0.000 0.000 6.026
2.137 2.133 0.026
6.380 2.133 0.026
4.258 0.037 3.009
0.000 0.037 3.018
4.258 4.230 3.009
0.000 4.230 3.018
-2.121 2.133 6.000
2.121 2.133 6.000


# 12
LaPm2Pr3Se6 | Alexandria | PBE | relaxed; symmetry = No. 12; energy relative to the elements, uncorrected = -1.87 eV per atom
1.0
3.672 -6.389 0.000
3.672 6.389 0.000
-2.461 0.000 6.943
La Pm Pr Se
1 2 3 6
Cartesian
0.000 0.000 0.000
3.672 2.139 0.000
3.672 -2.139 0.000
2.442 4.275 3.472
2.442 0.000 3.472
2.442 -4.275 3.472
1.237 2.154 1.717
0.023 0.000 5.242
1.237 -2.154 1.717
3.647 2.154 5.226
4.861 0.000 1.701
3.647 -2.154 5.226


no.,calculated density (Mg/m³),final energy (Ry per atom),volume (Å³ per cell)
1,6.380,-0.344,620
2,5.916,-0.374,527
3,6.055,-0.375,283
4,6.192,-0.344,632
5,6.075,-0.350,640
6,5.935,-0.363,342
7,6.377,-0.364,272
8,6.014,-0.351,644
9,6.194,-0.366,276
10,5.311,-0.426,466
11,6.686,-0.443,438
12,6.756,-0.442,326